# 1
SmBPd6 (PBE-GGA, relaxed); DFT formation energy = -0.4176 eV/atom
1.0
2.8250 1.6310 5.0231
-2.8250 1.6310 5.0231
0.0000 -3.2621 5.0231
Sm B Pd
1 1 6
Cartesian
0.0000 0.0000 0.0000
0.0000 0.0000 7.5346
-1.4675 -0.8473 6.3496
0.0000 -1.6945 8.7195
-1.4675 0.8473 8.7195
1.4675 -0.8473 6.3496
0.0000 1.6945 6.3496
1.4675 0.8473 8.7196

---

# 2
Ba3C (PBE-GGA, relaxed); excess energy over the best structure of this formula in the dataset = 198 meV per atom; DFT formation energy = 0.5751 eV/atom
1.0
-1.8816 2.8093 7.3870
1.8816 -2.8093 7.3870
1.8816 2.8093 -7.3870
Ba C
3 1
Cartesian
0.0000 0.0000 0.0000
1.8816 0.0000 5.2658
0.0000 2.8093 2.1213
0.0000 0.0000 7.3870

---

# 3
CeCd2Cu (PBE-GGA, relaxed); DFT formation energy = 0.2154 eV/atom
1.0
1.4878 0.8590 11.2095
-1.4878 0.8590 11.2095
0.0000 -1.7180 11.2095
Ce Cd Cu
1 2 1
Cartesian
0.0000 0.0000 0.0000
0.0000 0.0000 3.3698
0.0000 0.0000 30.2585
0.0000 0.0000 16.8142

---

# 4
NdPu3Al8 (PBE-GGA, relaxed); excess energy over the best structure of this formula in the dataset = 0 meV per atom; DFT formation energy = -0.3655 eV/atom
1.0
2.7746 1.6019 9.0460
-2.7746 1.6019 9.0460
0.0000 -3.2038 9.0460
Nd Pu Al
1 3 8
Cartesian
0.0000 0.0000 0.0000
0.0000 0.0000 3.4383
0.0000 0.0000 13.5870
0.0000 0.0000 16.8189
0.0000 -1.5957 6.1871
-1.3819 0.7978 6.1871
-1.3870 -0.8008 10.7486
0.0000 0.0000 8.4528
1.3819 0.7978 6.1871
1.3870 -0.8008 10.7486
0.0000 1.6016 10.7486
0.0000 0.0000 22.0377

---

# 5
TbTm7Pb4 (PBE-GGA, relaxed); DFT formation energy = -0.0238 eV/atom
1.0
6.3963 -2.8499 0.0000
6.3963 2.8499 0.0000
-5.7439 0.0000 9.8628
Tb Tm Pb
1 7 4
Cartesian
0.0000 0.0000 0.0000
-1.6555 0.0000 3.6997
-2.4116 0.0000 8.8740
1.9233 0.0000 4.2555
6.3963 0.0000 0.0000
5.1253 0.0000 5.6073
9.4602 0.0000 0.9888
8.7041 0.0000 6.1631
-0.1798 0.0000 6.6912
4.0200 0.0000 2.1053
3.0286 0.0000 7.7575
7.2284 0.0000 3.1716

---

# 6
Na3Cd2SbSe6 (PBE-GGA, relaxed); E_form (uncorrected) = -643 meV per atom
1.0
3.5230 -6.0890 0.0000
3.5230 6.0890 0.0000
-2.3605 0.0000 7.0215
Na Cd Sb Se
3 2 1 6
Cartesian
0.0000 0.0000 0.0000
3.5230 1.9878 0.0000
3.5230 -1.9878 0.0000
2.3427 4.0561 3.5108
2.3427 -4.0561 3.5108
2.3427 0.0000 3.5108
1.2413 1.9281 1.9445
0.1126 0.0000 5.0394
1.2413 -1.9281 1.9445
3.4440 1.9281 5.0770
4.5728 0.0000 1.9821
3.4440 -1.9281 5.0770

---

# 7
Rb3LiPd (PBE-GGA, relaxed); excess energy over the best structure of this formula in the dataset = 0 meV per atom; DFT formation energy = 0.1956 eV/atom
1.0
6.6000 0.0000 0.0000
0.0000 6.6000 0.0000
0.0000 0.0000 6.6000
Rb Li Pd
3 1 1
Cartesian
0.0000 0.0000 3.3000
0.0000 3.3000 0.0000
3.3000 0.0000 0.0000
3.3000 3.3000 3.3000
0.0000 0.0000 0.0000

---

# 8
ZrP2Br (PBE-GGA, relaxed); excess energy over the best structure of this formula in the dataset = 514 meV per atom; E_form (uncorrected) = -209 meV per atom
1.0
-2.1733 2.1733 9.6198
2.1733 -2.1733 9.6198
2.1733 2.1733 -9.6198
Zr P Br
2 4 2
Cartesian
0.0000 0.0000 0.0000
0.0000 2.1733 4.8099
0.2528 1.0866 2.4050
-1.0866 1.9205 7.2149
-0.2528 3.2599 2.4050
1.0866 2.4261 7.2149
2.1733 0.0000 4.8099
0.0000 0.0000 9.6198